# 1
PrThSi: relaxed, PBE-GGA.

Output
E_form (uncorrected), eV per atom: -0.31

a = 5.004 Å, b = 5.004 Å, c = 5.004 Å
α = 60.00°, β = 60.00°, γ = 60.00°
Fractional positions:
Pr  0.000  0.000  0.000
Si  0.250  0.250  0.250
Th  0.500  0.500  0.500



# 2
Cr2CoRu: relaxed, PBE-GGA.

Output
Formation energy from the elements, eV per atom: 0.133

a = 4.431 Å, b = 4.431 Å, c = 4.427 Å
α = 80.76°, β = 80.76°, γ = 33.98°
Fractional positions:
Co  0.250  0.250  0.250
Cr  0.994  0.994  0.016
Cr  0.506  0.506  0.484
Ru  0.750  0.750  0.750



# 3
AgPd2Pt6: relaxed, PBE-GGA.

Output
Formation energy from the elements, eV per atom: 0.129

a = 4.646 Å, b = 6.089 Å, c = 6.089 Å
α = 78.84°, β = 67.57°, γ = 67.57°
Fractional positions:
Ag  0.000  0.000  0.000
Pd  0.332  0.668  0.668
Pd  0.668  0.332  0.332
Pt  0.831  0.488  0.851
Pt  0.169  0.149  0.512
Pt  0.169  0.512  0.149
Pt  0.500  0.192  0.808
Pt  0.831  0.851  0.488
Pt  0.500  0.808  0.192